1.
Material: TlAgS2N
Method: DFT, PBE
State: optimized geometry

POSCAR file:
```
TlAgS2N
1.0
5.092 0.000 0.000
0.000 5.092 0.000
0.000 0.000 4.086
Tl Ag S N
1 1 2 1
Cartesian
0.000 0.000 0.000
2.546 2.546 2.043
0.000 2.546 2.043
2.546 0.000 2.043
2.546 2.546 0.000
```

Calculated values
Formation energy (no corrections), meV/atom: 1014
Energy above the lowest structure with this stoichiometry, eV per atom: 0.000
V, Å³ per atom: 21.184
Energy, eV per cell: -16.73

2.
Material: Dy4YTm
Method: DFT, PBE
State: optimized geometry

POSCAR file:
```
Dy4YTm
1.0
4.991 0.000 0.000
2.489 5.602 0.000
0.002 2.252 6.716
Dy Y Tm
4 1 1
Cartesian
1.248 1.687 2.231
1.248 2.804 5.606
6.233 5.050 1.111
6.234 6.167 4.485
3.741 3.927 3.358
3.740 2.801 0.000
```

Calculated values
DFT formation energy, eV/atom: 0.0214
Energy above the lowest structure with this stoichiometry, eV per atom: 0.000
V, Å³ per atom: 31.301
Energy, eV per cell: -29.22

3.
Material: GdThCuPb
Method: DFT, PBE
State: optimized geometry

POSCAR file:
```
GdThCuPb
1.0
0.000 3.755 3.755
3.755 0.000 3.755
3.755 3.755 0.000
Gd Th Cu Pb
1 1 1 1
Cartesian
0.000 0.000 0.000
3.755 3.755 3.755
5.632 5.632 5.632
1.877 1.877 1.877
```

Calculated values
DFT formation energy, eV/atom: -0.1561
V, Å³ per atom: 26.465
Energy, eV per cell: -29.93

4.
Material: Ba6GaGe2
Method: DFT, PBE
State: optimized geometry

POSCAR file:
```
Ba6GaGe2
1.0
-5.551 5.879 5.904
5.551 -5.879 5.904
5.551 5.879 -5.904
Ba Ga Ge
12 2 4
Cartesian
5.551 3.721 -3.000
3.032 1.987 0.000
8.070 1.987 0.000
1.942 5.879 -1.910
3.609 0.000 3.994
0.000 2.158 2.904
5.551 3.721 3.000
1.942 5.879 1.910
3.609 0.000 7.815
-2.519 3.893 5.904
2.519 3.893 5.904
0.000 2.158 8.905
0.000 0.000 0.000
0.000 0.000 5.904
5.551 0.000 1.290
0.000 3.751 0.000
0.000 8.007 0.000
0.000 5.879 4.615
```

Calculated values
DFT formation energy, eV/atom: -0.3446
V, Å³ per atom: 42.822
Energy, eV per cell: -53.80

5.
Material: DyMgNi
Method: DFT, PBE
State: optimized geometry

POSCAR file:
```
DyMgNi
1.0
5.029 -1.950 0.000
5.029 1.950 0.000
-3.933 0.000 6.301
Dy Mg Ni
2 2 2
Cartesian
-0.594 0.000 2.147
6.719 0.000 4.153
-0.417 0.000 5.809
6.542 0.000 0.492
2.346 0.000 2.137
3.778 0.000 4.163
```

Calculated values
DFT formation energy, eV/atom: -0.3244
V, Å³ per atom: 20.595
Energy, eV per cell: -25.90

6.
Material: TaMnCo
Method: DFT, PBE
State: optimized geometry

POSCAR file:
```
TaMnCo
1.0
-1.542 1.542 4.364
1.542 -1.542 4.364
1.542 1.542 -4.364
Ta Mn Co
1 1 1
Cartesian
0.000 0.000 0.000
0.000 0.000 5.880
0.000 0.000 2.908
```

Calculated values
DFT formation energy, eV/atom: -0.0780
Energy above the lowest structure with this stoichiometry, eV per atom: 0.139
V, Å³ per atom: 13.837
Energy, eV per cell: -28.36

7.
Material: Th3CoNi2
Method: DFT, PBE
State: optimized geometry

POSCAR file:
```
Th3CoNi2
1.0
-1.952 2.818 6.152
1.952 -2.818 6.152
1.952 2.818 -6.152
Th Co Ni
3 1 2
Cartesian
0.000 0.000 0.000
0.000 0.000 4.181
0.000 0.000 8.123
0.000 2.818 0.000
1.952 0.000 2.086
0.000 2.818 4.066
```

Calculated values
DFT formation energy, eV/atom: -0.3270
V, Å³ per atom: 22.563
Energy, eV per cell: -42.89

8.
Material: La2NdIr
Method: DFT, PBE
State: optimized geometry

POSCAR file:
```
La2NdIr
1.0
7.434 0.000 0.000
0.000 10.132 0.000
0.000 0.000 6.554
La Nd Ir
8 4 4
Cartesian
1.276 0.684 1.128
1.276 4.382 1.128
2.441 5.750 4.404
2.441 9.448 4.404
4.993 0.684 2.149
4.993 4.382 2.149
6.157 5.750 5.426
6.157 9.448 5.426
0.269 2.533 4.263
3.448 7.599 0.986
3.985 2.533 5.568
7.165 7.599 2.291
0.906 7.599 6.081
2.811 2.533 2.804
4.622 7.599 3.750
6.528 2.533 0.473
```

Calculated values
DFT formation energy, eV/atom: -0.4717
Energy above the lowest structure with this stoichiometry, eV per atom: 0.000
V, Å³ per atom: 30.852
Energy, eV per cell: -101.48

9.
Material: RbGa3Ge3
Method: DFT, PBE
State: optimized geometry

POSCAR file:
```
RbGa3Ge3
1.0
10.155 0.000 0.000
-5.078 8.795 0.000
0.000 0.000 4.380
Rb Ga Ge
2 6 6
Cartesian
0.000 5.863 1.095
5.078 2.932 3.285
-2.702 5.917 3.285
1.305 3.497 3.285
3.680 0.618 1.095
1.397 8.176 3.285
3.773 5.298 1.095
7.779 2.878 1.095
-1.290 3.525 3.285
-1.380 8.149 3.285
2.408 2.880 1.095
2.670 5.915 3.285
6.457 0.646 1.095
6.368 5.269 1.095
```

Calculated values
DFT formation energy, eV/atom: 0.0420
Energy above the lowest structure with this stoichiometry, eV per atom: 0.107
V, Å³ per atom: 27.945
Energy, eV per cell: -47.21

10.
Material: AlZnRh
Method: DFT, PBE
State: optimized geometry

POSCAR file:
```
AlZnRh
1.0
4.155 0.000 0.000
-2.078 3.599 0.000
0.000 0.000 2.853
Al Zn Rh
1 1 1
Cartesian
0.000 0.000 0.000
0.000 2.399 1.961
2.078 1.200 0.823
```

Calculated values
DFT formation energy, eV/atom: -0.4947
Energy above the lowest structure with this stoichiometry, eV per atom: 0.074
V, Å³ per atom: 14.222
Energy, eV per cell: -13.85

11.
Material: YTlPt2
Method: DFT, PBE
State: optimized geometry

POSCAR file:
```
YTlPt2
1.0
-3.847 3.847 3.027
3.847 -3.847 3.027
3.847 3.847 -3.027
Y Tl Pt
2 2 4
Cartesian
0.000 0.000 0.000
0.000 3.847 1.514
3.847 0.000 1.514
0.000 0.000 3.027
5.770 1.920 -0.757
1.920 1.923 0.757
-1.923 1.926 2.270
1.926 1.923 3.784
```

Calculated values
DFT formation energy, eV/atom: -0.3929
V, Å³ per atom: 22.397
Energy, eV per cell: -44.97

12.
Material: YIn3Si
Method: DFT, PBE
State: optimized geometry

POSCAR file:
```
YIn3Si
1.0
5.212 0.000 0.000
0.000 5.212 0.000
0.000 0.000 5.212
Y In Si
1 3 1
Cartesian
0.000 0.000 0.000
0.000 2.606 2.606
2.606 0.000 2.606
2.606 2.606 0.000
2.606 2.606 2.606
```

Calculated values
Formation energy (no corrections), meV/atom: 293
Energy above the lowest structure with this stoichiometry, eV per atom: 0.000
V, Å³ per atom: 28.309
Energy, eV per cell: -18.64